A geometry-optimized TlNi3F8 structure, computed with PBE with a Hubbard U.

energy = -3.891 eV per atom
total moment = 0.583 μB/atom

Unit cell a=5.2087 b=5.2087 c=7.7153 alpha=90.00 beta=90.00 gamma=120.00
With the nearest neighbours (Å) after each atom.
Space group P-31m (No. 162)
Inequivalent atoms, fractional coordinates:
Tl 0.0000 0.0000 0.0000 (multiplicity 1)  12 F 3.01-3.32
Ni 0.0000 0.0000 0.5000 (multiplicity 1)  6 F 2.01
Ni 0.3333 0.6667 0.5000 (multiplicity 2)  6 F 2.02
F 0.0000 0.3317 0.6330 (multiplicity 6)  3 Ni 2.01-2.02
F 0.3333 0.6667 0.0000 (multiplicity 2)  3 Tl 3.01, 9 F 3.01-3.32